! B5C7 | Alexandria | PBE | relaxed; values from VASP
! - crystal system = tetragonal
! - ΔE_f (eV per atom) = 0.318
! - volume (Å³/cell) = 78.4
&SYSTEM
  ibrav = 0, nat = 12, ntyp = 2
/
ATOMIC_SPECIES
B 10.81 B.upf
C 12.01 C.upf
ATOMIC_POSITIONS crystal
B 0.000 0.000 0.000
B 0.000 0.500 0.898
B 0.500 0.000 0.102
B 0.500 0.500 0.209
B 0.500 0.500 0.791
C 0.000 0.000 0.358
C 0.000 0.000 0.642
C 0.000 0.500 0.289
C 0.000 0.500 0.570
C 0.500 0.000 0.430
C 0.500 0.000 0.711
C 0.500 0.500 0.500
CELL_PARAMETERS angstrom
2.482 0.000 0.000
0.000 2.482 0.000
0.000 0.000 12.717